The following is a DFT calculation (GGA-PBE) of a geometry-optimized KGa2OsO8 structure.

Structure (CIF):
```
data_KGa2OsO8
_chemical_formula_sum 'K1 Ga2 Os1 O8'
_symmetry_space_group_name_H-M 'P 1'
_symmetry_Int_Tables_number 1
_symmetry_space_group_name_Hall 'P 1'
_cell_length_a 4.3498
_cell_length_b 4.8909
_cell_length_c 6.6521
_cell_angle_alpha 89.92
_cell_angle_beta 89.82
_cell_angle_gamma 89.06
loop_
_atom_site_label
_atom_site_fract_x
_atom_site_fract_y
_atom_site_fract_z
_atom_site_occupancy
K1 0.0000 0.0000 0.0000 1
Ga1 0.4996 0.5000 0.2547 1
Ga2 0.5004 0.5000 0.7453 1
Os1 0.0000 0.0000 0.5000 1
O1 0.2491 0.8376 0.6919 1
O2 0.2506 0.8385 0.3074 1
O3 0.2538 0.4671 0.0001 1
O4 0.2577 0.3254 0.4999 1
O5 0.7423 0.6746 0.5001 1
O6 0.7462 0.5329 0.9999 1
O7 0.7494 0.1615 0.6926 1
O8 0.7509 0.1624 0.3081 1
```

## Properties
M_tot	0.000	μB/cell
crystal system	triclinic
raw formation energy	-12.96	eV/f.u.
space group	P-1, No. 2